# NiBiP3

NiBiP3 after structural relaxation (PBE, Alexandria via LeMat-Bulk).

a b c (Å): 4.161 4.159 5.677
angles (deg): 91.64 106.93 94.64
Element x y z (fractional)
Ni1 0.651 0.369 0.320
P1 0.707 0.864 0.187
P2 0.084 0.248 0.165
P3 0.970 0.281 0.749
Bi1 0.378 0.802 0.685

Magnetic moment, μB per cell: 0.0
Crystal system: triclinic
Formation energy from the elements, eV per atom: -0.029
Space-group type: No. 1
Fermi-level density of states, states/eV per atom: 0.1878
E_tot, eV per atom: -5.2078